{"formula": "Ba8P3SeI4", "functional": "PBE", "state": "relaxed", "lattice_angstrom": [[-2.322, -0.144, 9.250], [7.229, -6.667, 1.711], [2.303, 8.243, -4.211]], "species": ["Ba", "I", "Ba", "Ba", "I", "I", "Ba", "P", "Se", "I", "Ba", "Ba", "Ba", "P", "Ba", "P"], "fractional_positions": [[0.239, 0.703, 0.964], [0.000, 0.000, 0.500], [0.761, 0.297, 0.522], [0.275, 0.297, 0.036], [0.500, 0.000, 0.500], [0.000, 0.000, 0.000], [0.761, 0.297, 0.036], [0.500, 0.500, 0.000], [0.000, 0.500, 0.000], [0.500, 0.000, 0.000], [0.734, 0.703, 0.469], [0.239, 0.703, 0.478], [0.725, 0.703, 0.964], [0.000, 0.500, 0.500], [0.266, 0.297, 0.531], [0.500, 0.500, 0.500]], "formation_energy_uncorrected_ev_per_atom": -1.512, "dos_ef_per_ev_fu": 4.172}